# AgMo2Os

A relaxed AgMo2Os crystal (PBE, the Alexandria database).

For the total magnetic moment, the calculation gives 0.0 Bohr magnetons per cell. For the excess energy over the best structure of this formula in the dataset, the calculation gives 0.000 eV/f.u. The density of states at the Fermi level comes out at 3.5 states/eV per cell.

The structure belongs to space group P4/mmm (No. 123); the cell edges are 2.7756, 2.7756 and 8.2909 Å and the angles 90.00°, 90.00° and 90.00°. Symmetry generates all atoms from Ag at (0.0000, 0.0000, 0.0000), Mo at (0.5000, 0.5000, 0.2723) and Os at (0.0000, 0.0000, 0.5000).

# AgMoOs2

A relaxed AgMoOs2 crystal (PBE, the Alexandria database).

For the total magnetic moment, the calculation gives 0.0 Bohr magnetons per cell. For the excess energy over the best structure of this formula in the dataset, the calculation gives 1.884 eV/f.u. The density of states at the Fermi level comes out at 3.7 states/eV per cell.

The structure belongs to space group Pmmm (No. 47); the cell edges are 2.8149, 4.6590 and 4.7334 Å and the angles 90.00°, 90.00° and 90.00°. Symmetry generates all atoms from Ag at (0.0000, 0.0000, 0.0000), Mo at (0.5000, 0.0000, 0.5000), Os at (0.0000, 0.5000, 0.5000) and Os at (0.5000, 0.5000, 0.0000).

The following energy of formation from the pure elements values (in eV per atom) correspond, in order, to the records above: 0.2817 0.7443.